1.
# Re2TcSe GGA-PBE relaxed
# Energy relative to the elements, uncorrected   455 meV/atom
# V   15.18 A^3/atom
data_Re2TcSe
_symmetry_space_group_name_H-M 'P 1 2/m 1'
_symmetry_Int_Tables_number 10
_symmetry_space_group_name_Hall '-P 2y'
_cell_length_a 2.880
_cell_length_b 4.097
_cell_length_c 5.300
_cell_angle_alpha 90.00
_cell_angle_beta 103.90
_cell_angle_gamma 90.00
loop_
_atom_site_label
_atom_site_fract_x
_atom_site_fract_y
_atom_site_fract_z
_atom_site_occupancy
Re1 0.119 0.000 0.253 1
Tc1 0.500 0.500 0.000 1
Se1 0.500 0.500 0.500 1

---

2.
# KBaIrO6 GGA-PBE relaxed
# Energy relative to the elements, uncorrected   -1098 meV/atom
# V   18.47 A^3/atom
data_KBaIrO6
_symmetry_space_group_name_H-M 'C 1 2 1'
_symmetry_Int_Tables_number 5
_symmetry_space_group_name_Hall 'C 2y'
_cell_length_a 6.100
_cell_length_b 10.545
_cell_length_c 5.169
_cell_angle_alpha 90.00
_cell_angle_beta 90.03
_cell_angle_gamma 90.00
loop_
_atom_site_label
_atom_site_fract_x
_atom_site_fract_y
_atom_site_fract_z
_atom_site_occupancy
K1 0.000 0.000 0.000 1
Ba1 0.000 0.667 0.500 1
Ir1 0.000 0.333 0.000 1
O1 0.115 0.462 0.792 1
O2 0.134 0.212 0.790 1
O3 0.250 0.327 0.209 1

---

3.
# Nd12Th3Al5 GGA-PBE relaxed
# Energy relative to the elements   0.60 eV per atom
# V   38.50 A^3/atom
data_Nd12Th3Al5
_symmetry_space_group_name_H-M 'I a -3 d'
_symmetry_Int_Tables_number 230
_symmetry_space_group_name_Hall '-I 4bd 2c 3'
_cell_length_a 18.331
_cell_length_b 18.331
_cell_length_c 18.331
_cell_angle_alpha 90.00
_cell_angle_beta 90.00
_cell_angle_gamma 90.00
loop_
_atom_site_label
_atom_site_fract_x
_atom_site_fract_y
_atom_site_fract_z
_atom_site_occupancy
Nd1 0.026 0.071 0.646 1
Th1 0.000 0.250 0.125 1
Al1 0.000 0.000 0.000 1
Al2 0.000 0.250 0.375 1